The following is a DFT calculation (GGA+U) of a geometry-optimized Ba2MoBr4O2 structure.

The total energy is -43.05 eV/cell. As for the total magnetization: 0.0 μB/f.u.

a b c (Å): 5.637 6.870 6.870
angles (deg): 69.13 77.78 77.78
Element x y z (fractional)
Br: 0.701 0.833 0.365
O: 0.768 0.864 0.864
Br: 0.701 0.365 0.833
Ba: 0.832 0.311 0.311
Ba: 0.168 0.689 0.689
Mo: 0.500 0.000 0.000
Br: 0.299 0.167 0.635
Br: 0.299 0.635 0.167
O: 0.232 0.136 0.136